Computed, not measured: an optimized crystal structure of MnTeS2 at the PBE level of DFT.

Calculated values
Its volume is 28.1 A^3/atom. As for the total energy: -5.299 eV per atom. The density of states at the Fermi level is 2.9 states/eV/f.u. As for the formation energy from raw total energies: -0.1571 eV per atom.

Cell: 9.1284 9.1284 5.4043 Å, 90.00 90.00 90.00°
Closest atoms and distances in Å follow each position.
Space group I4/mcm (No. 140)
Asymmetric unit:
Mn 0.0000 0.5000 0.2500 [4 per cell]  4 S 2.12
Te 0.0000 0.0000 0.2500 [4 per cell]  2 Te 2.70
S 0.1264 0.3736 0.0000 [8 per cell]  2 Mn 2.12